Material: C2Se
Method: DFT, GGA-PBE
State: optimized geometry

Lattice parameters (Å, degrees): 2.5653 2.5653 26.8659 90.00 90.00 120.00
Space group R-3m (No. 166, hexagonal axes)
Unique sites:
C 0.0000 0.0000 0.1667 x6
Se 0.0000 0.0000 0.0000 x3

Values from the calculation:
- Distance to the lowest polymorph of the same formula: 183 meV per atom
- E_tot: -6.86 eV/atom
- Theoretical density: 3.4 g/cm³
- Energy relative to the elements, uncorrected: 131.4 kJ/mol of formula units
- V: 51.0 Å³/f.u.

Material: C4Se
Method: DFT, GGA-PBE
State: optimized geometry

Lattice parameters (Å, degrees): 5.5857 5.5857 4.5776 90.00 90.00 90.00
Space group I4/mmm (No. 139)
Unique sites:
C 0.0000 0.3847 0.0000 x8
Se 0.0000 0.0000 0.0000 x2

Values from the calculation:
- Distance to the lowest polymorph of the same formula: 669 meV per atom
- E_tot: -5.88 eV/atom
- Theoretical density: 3.0 g/cm³
- Energy relative to the elements, uncorrected: 1058.8 kJ/mol of formula units
- V: 71.4 Å³/f.u.

Material: CSe
Method: DFT, GGA-PBE
State: optimized geometry

Lattice parameters (Å, degrees): 3.9439 3.9439 4.8240 90.00 90.00 120.00
Space group P6_3mc (No. 186)
Unique sites:
C 0.3333 0.6667 0.0000 x2
Se 0.3333 0.6667 0.3996 x2

Values from the calculation:
- Distance to the lowest polymorph of the same formula: 1293 meV per atom
- E_tot: -4.56 eV/atom
- Theoretical density: 4.6 g/cm³
- Energy relative to the elements, uncorrected: 346.7 kJ/mol of formula units
- V: 32.5 Å³/f.u.

Material: C2Se
Method: DFT, GGA-PBE
State: optimized geometry

Lattice parameters (Å, degrees): 2.4250 2.4250 8.2541 90.00 90.00 90.00
Space group P4/mmm (No. 123)
Unique sites:
C 0.0000 0.5000 0.0000 x2
Se 0.0000 0.0000 0.5000 x1

Values from the calculation:
- Distance to the lowest polymorph of the same formula: 1736 meV per atom
- E_tot: -5.30 eV/atom
- Theoretical density: 3.5 g/cm³
- Energy relative to the elements, uncorrected: 581.1 kJ/mol of formula units
- V: 48.5 Å³/f.u.

Material: C2Se
Method: DFT, GGA-PBE
State: optimized geometry

Lattice parameters (Å, degrees): 2.4920 32.4577 2.5942 90.00 90.00 90.00
Space group Cmmm (No. 65)
Unique sites:
C 0.0000 0.0000 0.0000 x2
C 0.0000 0.2480 0.0000 x4
C 0.0000 0.5000 0.5000 x2
Se 0.0000 0.1156 0.5000 x4

Values from the calculation:
- Distance to the lowest polymorph of the same formula: 1262 meV per atom
- E_tot: -5.78 eV/atom
- Theoretical density: 3.3 g/cm³
- Energy relative to the elements, uncorrected: 443.8 kJ/mol of formula units
- V: 52.5 Å³/f.u.

Material: CSe3
Method: DFT, GGA-PBE
State: optimized geometry

Lattice parameters (Å, degrees): 4.4372 4.4372 4.4372 90.00 90.00 90.00
Space group Pm-3m (No. 221)
Unique sites:
C 0.0000 0.0000 0.0000 x1
Se 0.0000 0.0000 0.5000 x3

Values from the calculation:
- Distance to the lowest polymorph of the same formula: 871 meV per atom
- E_tot: -3.48 eV/atom
- Theoretical density: 4.7 g/cm³
- Energy relative to the elements, uncorrected: 554.5 kJ/mol of formula units
- V: 87.4 Å³/f.u.

Material: C7Se6
Method: DFT, GGA-PBE
State: optimized geometry

Lattice parameters (Å, degrees): 5.4863 5.4863 27.0684 90.00 90.00 120.00
Space group R-3m (No. 166, hexagonal axes)
Unique sites:
C 0.0000 0.0000 0.0000 x3
C 0.0911 0.1822 0.9494 x18
Se 0.0000 0.0000 0.1717 x6
Se 0.0000 0.0000 0.2803 x6
Se 0.0000 0.0000 0.3700 x6

Values from the calculation:
- E_tot: -4.70 eV/atom
- Theoretical density: 3.9 g/cm³
- Energy relative to the elements, uncorrected: 2357.8 kJ/mol of formula units
- V: 235.2 Å³/f.u.

Material: CSe
Method: DFT, GGA-PBE
State: optimized geometry

Lattice parameters (Å, degrees): 4.1822 5.0843 5.1412 74.24 90.00 89.69
Space group P1 (No. 1)
Unique sites:
C 0.0000 0.0000 0.0000 x1
C 0.3134 0.9998 0.9999 x1
Se 0.1553 0.2288 0.6418 x1
Se 0.6568 0.9862 0.2402 x1

Values from the calculation:
- Distance to the lowest polymorph of the same formula: 511 meV per atom
- E_tot: -5.34 eV/atom
- Theoretical density: 2.9 g/cm³
- Energy relative to the elements, uncorrected: 195.9 kJ/mol of formula units
- V: 52.6 Å³/f.u.